[1]
PaBe2CuPt5 after structural relaxation. Source: Alexandria, functional GGA-PBE.

Values from the calculation:
As for the formation enthalpy at 0 K: -52.32 kJ/mol of atoms. The symmetry is P4/mmm.

```
PaBe2CuPt5
1.0
4.4496 0.0000 0.0000
0.0000 4.4496 0.0000
0.0000 0.0000 6.9346
Pa Be Cu Pt
1 2 1 5
direct
0.0000 0.0000 0.0000
0.5000 0.5000 0.3402
0.5000 0.5000 0.6597
0.0000 0.0000 0.5000
0.0000 0.5000 0.2816
0.0000 0.5000 0.7184
0.5000 0.0000 0.2816
0.5000 0.0000 0.7184
0.5000 0.5000 0.0000
```

***

[2]
Pa2Be3CuSi4 after structural relaxation. Source: Alexandria, functional GGA-PBE.

Values from the calculation:
For the uncorrected formation energy, the calculation gives -326 meV/atom. The symmetry is P-4m2.

```
Pa2Be3CuSi4
1.0
3.9485 0.0000 0.0000
0.0000 3.9485 0.0000
0.0000 0.0000 9.4396
Pa Be Cu Si
2 3 1 4
direct
0.0000 0.5000 0.2440
0.5000 0.0000 0.7560
0.0000 0.5000 0.8776
0.5000 0.0000 0.1224
0.5000 0.5000 0.5000
0.0000 0.0000 0.5000
0.0000 0.0000 0.0000
0.0000 0.5000 0.6396
0.5000 0.0000 0.3604
0.5000 0.5000 0.0000
```

***

[3]
Pa2Be4CuSi3 after structural relaxation. Source: Alexandria, functional GGA-PBE.

Values from the calculation:
For the uncorrected formation energy, the calculation gives -309 meV/atom. The symmetry is P-4m2.

```
Pa2Be4CuSi3
1.0
3.8987 0.0000 0.0000
0.0000 3.8987 0.0000
0.0000 0.0000 9.3282
Pa Be Cu Si
2 4 1 3
direct
0.0000 0.5000 0.2483
0.5000 0.0000 0.7517
0.0000 0.0000 0.0000
0.0000 0.5000 0.6290
0.5000 0.0000 0.3710
0.5000 0.5000 0.0000
0.0000 0.0000 0.5000
0.0000 0.5000 0.8682
0.5000 0.0000 0.1318
0.5000 0.5000 0.5000
```

***

[4]
PaBeCuSi2 after structural relaxation. Source: Alexandria, functional GGA-PBE.

Values from the calculation:
For the uncorrected formation energy, the calculation gives -369 meV/atom. The symmetry is I-4m2.

```
PaBeCuSi2
1.0
-1.9353 1.9353 5.1025
1.9353 -1.9353 5.1025
1.9353 1.9353 -5.1025
Pa Be Cu Si
1 1 1 2
direct
0.0000 0.0000 0.0000
0.2500 0.7500 0.5000
0.7500 0.2500 0.5000
0.3813 0.3813 0.0000
0.6187 0.6187 0.0000
```

***

[5]
BeCu2Pb2 after structural relaxation. Source: Alexandria, functional GGA-PBE.

Values from the calculation:
As for the formation enthalpy at 0 K: 39.83 kJ/mol of atoms. The symmetry is P4/mbm.

```
BeCu2Pb2
1.0
6.5292 0.0000 0.0000
0.0000 6.5292 0.0000
0.0000 0.0000 4.4889
Be Cu Pb
2 4 4
direct
0.0000 0.0000 0.0000
0.5000 0.5000 0.0000
0.1470 0.3530 0.0000
0.3530 0.8530 0.0000
0.6470 0.1470 0.0000
0.8530 0.6470 0.0000
0.1756 0.6756 0.5000
0.3244 0.1756 0.5000
0.6756 0.8244 0.5000
0.8244 0.3244 0.5000
```

***

[6]
BeCuPb4 after structural relaxation. Source: Alexandria, functional GGA-PBE.

Values from the calculation:
As for the formation enthalpy at 0 K: 86.10 kJ/mol of atoms. The symmetry is F-43m.

```
BeCuPb4
1.0
0.0000 4.4915 4.4915
4.4915 0.0000 4.4915
4.4915 4.4915 0.0000
Be Cu Pb
1 1 4
direct
0.0000 0.0000 0.0000
0.7500 0.7500 0.7500
0.3750 0.3750 0.3750
0.3750 0.3750 0.8751
0.3750 0.8751 0.3750
0.8751 0.3750 0.3750
```

***

[7]
Be3CuPb after structural relaxation. Source: Alexandria, functional GGA-PBE.

Values from the calculation:
As for the formation enthalpy at 0 K: 149.10 kJ/mol of atoms. For the distance to the lowest polymorph of the same formula, the calculation gives 0.951 eV/atom. The symmetry is Pm-3m.

```
Be3CuPb
1.0
4.6202 0.0000 0.0000
0.0000 4.6202 0.0000
0.0000 0.0000 4.6202
Be Cu Pb
3 1 1
direct
0.0000 0.0000 0.5000
0.0000 0.5000 0.0000
0.5000 0.0000 0.0000
0.5000 0.5000 0.5000
0.0000 0.0000 0.0000
```

***

[8]
Be2Cu2Pb after structural relaxation. Source: Alexandria, functional GGA-PBE.

Values from the calculation:
As for the formation enthalpy at 0 K: 39.37 kJ/mol of atoms. For the distance to the lowest polymorph of the same formula, the calculation gives 0.055 eV/atom. The symmetry is P4/mbm.

```
Be2Cu2Pb
1.0
7.0861 0.0000 0.0000
0.0000 7.0861 0.0000
0.0000 0.0000 2.8585
Be Cu Pb
4 4 2
direct
0.1465 0.3535 0.0000
0.3535 0.8535 0.0000
0.6465 0.1465 0.0000
0.8535 0.6465 0.0000
0.1280 0.6280 0.5000
0.3720 0.1280 0.5000
0.6280 0.8720 0.5000
0.8720 0.3720 0.5000
0.0000 0.0000 0.5000
0.5000 0.5000 0.5000
```

***

[9]
Be2Cu2Pb after structural relaxation. Source: Alexandria, functional GGA-PBE.

Values from the calculation:
As for the formation enthalpy at 0 K: 35.44 kJ/mol of atoms. For the distance to the lowest polymorph of the same formula, the calculation gives 0.015 eV/atom. The symmetry is P4/mbm.

```
Be2Cu2Pb
1.0
6.9577 0.0000 0.0000
0.0000 6.9577 0.0000
0.0000 0.0000 2.9310
Be Cu Pb
4 4 2
direct
0.1176 0.3824 0.0000
0.3824 0.8824 0.0000
0.6176 0.1176 0.0000
0.8824 0.6176 0.0000
0.1500 0.6500 0.5000
0.3500 0.1500 0.5000
0.6500 0.8500 0.5000
0.8500 0.3500 0.5000
0.0000 0.0000 0.0000
0.5000 0.5000 0.0000
```

***

[10]
BeCu4Pb after structural relaxation. Source: Alexandria, functional GGA-PBE.

Values from the calculation:
As for the formation enthalpy at 0 K: 27.85 kJ/mol of atoms. The symmetry is F-43m.

```
BeCu4Pb
1.0
0.0000 3.5065 3.5065
3.5065 0.0000 3.5065
3.5065 3.5065 0.0000
Be Cu Pb
1 4 1
direct
0.0000 0.0000 0.0000
0.1213 0.6262 0.6262
0.6262 0.1213 0.6262
0.6262 0.6262 0.1213
0.6262 0.6262 0.6262
0.2500 0.2500 0.2500
```

***

[11]
Be2Cu2Pb after structural relaxation. Source: Alexandria, functional GGA-PBE.

Values from the calculation:
As for the formation enthalpy at 0 K: 34.03 kJ/mol of atoms. For the distance to the lowest polymorph of the same formula, the calculation gives 0.000 eV/atom. The symmetry is I4/mmm.

```
Be2Cu2Pb
1.0
-1.8626 1.8626 5.1543
1.8626 -1.8626 5.1543
1.8626 1.8626 -5.1543
Be Cu Pb
2 2 1
direct
0.1105 0.1105 0.0000
0.8895 0.8895 0.0000
0.2500 0.7500 0.5000
0.7500 0.2500 0.5000
0.5000 0.5000 0.0000
```

***

[12]
Be3CuPb after structural relaxation. Source: Alexandria, functional GGA-PBE.

Values from the calculation:
As for the formation enthalpy at 0 K: 57.31 kJ/mol of atoms. For the distance to the lowest polymorph of the same formula, the calculation gives 0.000 eV/atom. The symmetry is Pm-3m.

```
Be3CuPb
1.0
4.2407 0.0000 0.0000
0.0000 4.2407 0.0000
0.0000 0.0000 4.2407
Be Cu Pb
3 1 1
direct
0.0000 0.0000 0.5000
0.0000 0.5000 0.0000
0.5000 0.0000 0.0000
0.0000 0.0000 0.0000
0.5000 0.5000 0.5000
```

***

[13]
BeCu2RhPb after structural relaxation. Source: Alexandria, functional GGA-PBE.

Values from the calculation:
As for the formation enthalpy at 0 K: 50.60 kJ/mol of atoms. The symmetry is P4/mmm.

```
BeCu2RhPb
1.0
4.7749 0.0000 0.0000
0.0000 4.7749 0.0000
0.0000 0.0000 4.1381
Be Cu Rh Pb
1 2 1 1
direct
0.0000 0.0000 0.0000
0.0000 0.5000 0.5000
0.5000 0.0000 0.5000
0.0000 0.0000 0.5000
0.5000 0.5000 0.0000
```

***

[14]
Be2CuSbPb after structural relaxation. Source: Alexandria, functional GGA-PBE.

Values from the calculation:
For the uncorrected formation energy, the calculation gives 927 meV/atom. The symmetry is P4/mmm.

```
Be2CuSbPb
1.0
4.6298 0.0000 0.0000
0.0000 4.6298 0.0000
0.0000 0.0000 5.1483
Be Cu Sb Pb
2 1 1 1
direct
0.0000 0.5000 0.0000
0.5000 0.0000 0.0000
0.0000 0.0000 0.5000
0.0000 0.0000 0.0000
0.5000 0.5000 0.5000
```

***

[15]
BeCuTePb2 after structural relaxation. Source: Alexandria, functional GGA-PBE.

Values from the calculation:
For the uncorrected formation energy, the calculation gives 950 meV/atom. The symmetry is P4/mmm.

```
BeCuTePb2
1.0
6.0987 0.0000 0.0000
0.0000 6.0987 0.0000
0.0000 0.0000 4.4454
Be Cu Te Pb
1 1 1 2
direct
0.0000 0.0000 0.0000
0.5000 0.5000 0.0000
0.0000 0.0000 0.5000
0.0000 0.5000 0.5000
0.5000 0.0000 0.5000
```

***

[16]
BeCuPd6 after structural relaxation. Source: Alexandria, functional GGA-PBE.

Values from the calculation:
As for the formation enthalpy at 0 K: -16.65 kJ/mol of atoms. For the distance to the lowest polymorph of the same formula, the calculation gives 0.000 eV/atom. The symmetry is I4/mmm.

```
BeCuPd6
1.0
-2.0019 2.0019 7.0507
2.0019 -2.0019 7.0507
2.0019 2.0019 -7.0507
Be Cu Pd
1 1 6
direct
0.0000 0.0000 0.0000
0.5000 0.5000 0.0000
0.1086 0.6086 0.5000
0.2503 0.2503 0.0000
0.3914 0.8914 0.5000
0.6086 0.1086 0.5000
0.7497 0.7497 0.0000
0.8914 0.3914 0.5000
```

***

[17]
BeCu2Pd6 after structural relaxation. Source: Alexandria, functional GGA-PBE.

Values from the calculation:
As for the formation enthalpy at 0 K: -20.09 kJ/mol of atoms. The symmetry is P4_2/mnm.

```
BeCu2Pd6
1.0
7.8857 0.0000 0.0000
0.0000 7.8857 0.0000
0.0000 0.0000 4.0079
Be Cu Pd
2 4 12
direct
0.0000 0.0000 0.0000
0.5000 0.5000 0.5000
0.1998 0.1998 0.5000
0.3002 0.6998 0.0000
0.6998 0.3002 0.0000
0.8002 0.8002 0.5000
0.0279 0.3187 0.0000
0.1249 0.8751 0.5000
0.1813 0.5279 0.5000
0.3187 0.0279 0.0000
0.3751 0.3751 0.0000
0.4721 0.8187 0.5000
0.5279 0.1813 0.5000
0.6249 0.6249 0.0000
0.6813 0.9721 0.0000
0.8187 0.4721 0.5000
0.8751 0.1249 0.5000
0.9721 0.6813 0.0000
```

***

[18]
Be3CuPd4 after structural relaxation. Source: Alexandria, functional GGA-PBE.

Values from the calculation:
As for the formation enthalpy at 0 K: -45.24 kJ/mol of atoms. The symmetry is P4/mmm.

```
Be3CuPd4
1.0
4.0016 0.0000 0.0000
0.0000 4.0016 0.0000
0.0000 0.0000 6.0158
Be Cu Pd
3 1 4
direct
0.0000 0.0000 0.0000
0.0000 0.0000 0.5000
0.5000 0.5000 0.0000
0.5000 0.5000 0.5000
0.0000 0.5000 0.2351
0.0000 0.5000 0.7649
0.5000 0.0000 0.2351
0.5000 0.0000 0.7649
```

***

[19]
BeCuPd2 after structural relaxation. Source: Alexandria, functional GGA-PBE.

Values from the calculation:
As for the formation enthalpy at 0 K: -23.90 kJ/mol of atoms. The symmetry is R3m.

```
BeCuPd2
1.0
1.4026 0.8098 7.6518
-1.4026 0.8098 7.6518
0.0000 -1.6196 7.6518
Be Cu Pd
1 1 2
direct
0.0000 0.0000 0.0000
0.1665 0.1665 0.1665
0.4060 0.4060 0.4060
0.5936 0.5936 0.5936
```

***

[20]
BeCuPd4 after structural relaxation. Source: Alexandria, functional GGA-PBE.

Values from the calculation:
As for the formation enthalpy at 0 K: -29.06 kJ/mol of atoms. The symmetry is P4/mmm.

```
BeCuPd4
1.0
2.7706 0.0000 0.0000
0.0000 2.7706 0.0000
0.0000 0.0000 10.5697
Be Cu Pd
1 1 4
direct
0.0000 0.0000 0.0000
0.5000 0.5000 0.5000
0.0000 0.0000 0.3300
0.0000 0.0000 0.6700
0.5000 0.5000 0.1340
0.5000 0.5000 0.8660
```

***

[21]
Be6CuPd12 after structural relaxation. Source: Alexandria, functional GGA-PBE.

Values from the calculation:
As for the formation enthalpy at 0 K: -28.67 kJ/mol of atoms. The symmetry is R-3.

```
Be6CuPd12
1.0
5.6562 3.2656 2.2999
-5.6562 3.2656 2.2999
0.0000 -6.5312 2.2999
Be Cu Pd
6 1 12
direct
0.1491 0.8359 0.7038
0.1641 0.2962 0.8509
0.2962 0.8509 0.1641
0.7038 0.1491 0.8359
0.8359 0.7038 0.1491
0.8509 0.1641 0.2962
0.5000 0.5000 0.5000
0.0649 0.3473 0.1438
0.1438 0.0649 0.3473
0.1798 0.4902 0.6544
0.3456 0.8202 0.5098
0.3473 0.1438 0.0649
0.4902 0.6544 0.1798
0.5098 0.3456 0.8202
0.6527 0.8562 0.9351
0.6544 0.1798 0.4902
0.8202 0.5098 0.3456
0.8562 0.9351 0.6527
0.9351 0.6527 0.8562
```

***

[22]
Be2Cu2Pd after structural relaxation. Source: Alexandria, functional GGA-PBE.

Values from the calculation:
As for the formation enthalpy at 0 K: -15.27 kJ/mol of atoms. For the distance to the lowest polymorph of the same formula, the calculation gives 0.023 eV/atom. The symmetry is Cmmm.

```
Be2Cu2Pd
1.0
1.4174 -7.4060 0.0000
1.4174 7.4060 0.0000
0.0000 0.0000 2.7178
Be Cu Pd
2 2 1
direct
0.0943 0.9057 0.0000
0.9057 0.0943 0.0000
0.3181 0.6819 0.5000
0.6819 0.3181 0.5000
0.5000 0.5000 0.5000
```

***

[23]
Be2Cu5Pd12 after structural relaxation. Source: Alexandria, functional GGA-PBE.

Values from the calculation:
As for the formation enthalpy at 0 K: -8.32 kJ/mol of atoms. The symmetry is C2/m.

```
Be2Cu5Pd12
1.0
5.6489 -3.7515 0.0000
5.6489 3.7515 0.0000
-0.7247 0.0000 6.4471
Be Cu Pd
2 5 12
direct
0.2344 0.7656 0.0000
0.7656 0.2344 0.0000
0.1888 0.1888 0.9575
0.2598 0.2598 0.4045
0.5000 0.5000 0.5000
0.7402 0.7402 0.5955
0.8112 0.8112 0.0425
0.0434 0.0434 0.2254
0.0878 0.6839 0.3785
0.1692 0.5285 0.7596
0.3161 0.9122 0.6215
0.4098 0.4098 0.1236
0.4715 0.8308 0.2404
0.5285 0.1692 0.7596
0.5902 0.5902 0.8764
0.6839 0.0878 0.3785
0.8308 0.4715 0.2404
0.9122 0.3161 0.6215
0.9566 0.9566 0.7746
```

***

[24]
BeCuPd2 after structural relaxation. Source: Alexandria, functional GGA-PBE.

Values from the calculation:
As for the formation enthalpy at 0 K: 16.37 kJ/mol of atoms. The symmetry is I-42d.

```
BeCuPd2
1.0
-1.8785 1.8785 8.2356
1.8785 -1.8785 8.2356
1.8785 1.8785 -8.2356
Be Cu Pd
2 2 4
direct
0.0000 0.0000 0.0000
0.7500 0.2500 0.5000
0.2500 0.7500 0.5000
0.5000 0.5000 0.0000
0.1154 0.6250 0.9904
0.3750 0.3654 0.4904
0.6346 0.1250 0.0096
0.8750 0.8846 0.5096
```

***

| no. | volume (A^3/atom) | density of states at the Fermi level (states/eV per cell) |
| --- | --- | --- |
| 1 | 15.26 | 5.93 |
| 2 | 14.72 | 8.90 |
| 3 | 14.18 | 7.54 |
| 4 | 15.29 | 3.53 |
| 5 | 19.14 | 3.77 |
| 6 | 30.20 | 3.36 |
| 7 | 19.73 | 2.14 |
| 8 | 14.35 | 3.31 |
| 9 | 14.19 | 2.56 |
| 10 | 14.37 | 2.72 |
| 11 | 14.30 | 2.03 |
| 12 | 15.25 | 1.12 |
| 13 | 18.87 | 1.84 |
| 14 | 22.07 | 2.96 |
| 15 | 33.07 | 2.52 |
| 16 | 14.13 | 11.49 |
| 17 | 13.85 | 18.06 |
| 18 | 12.04 | 1.94 |
| 19 | 13.04 | 2.23 |
| 20 | 13.52 | 2.16 |
| 21 | 13.42 | 4.06 |
| 22 | 11.41 | 1.10 |
| 23 | 14.38 | 14.04 |
| 24 | 14.53 | 4.13 |